[1]
The following is a DFT calculation (GGA-PBEsol) of a relaxed structure of NiIr2Os.

Cell and atoms, written as POSCAR:
```
NiIr2Os
1.0
2.6849 0.0000 0.0000
1.3425 2.3252 0.0000
1.3425 0.7751 8.5245
Ni Ir Os
1 2 1
direct
0.5000 0.5000 0.5000 Ni
0.2480 0.2480 0.2561 Ir
0.7520 0.7520 0.7439 Ir
0.0000 0.0000 0.0000 Os
```

## Properties
Raw total energy (eV for the cell shown): -37.9
Energy relative to the lowest polymorph listed for this composition (eV per formula unit): 0.16
Density (Mg/m³): 19.8
Space group: R-3m

[2]
The following is a DFT calculation (GGA-PBEsol) of a relaxed structure of MgZn2Hg.

Cell and atoms, written as POSCAR:
```
MgZn2Hg
1.0
3.1956 0.0000 0.0000
0.0000 3.5075 0.0000
0.0000 0.0000 6.3013
Mg Zn Hg
1 2 1
direct
0.5000 0.5000 0.7635 Mg
0.0000 0.0000 0.0262 Zn
0.5000 0.5000 0.2208 Zn
0.0000 0.0000 0.4896 Hg
```

## Properties
Raw total energy (eV for the cell shown): -5.6
Energy relative to the lowest polymorph listed for this composition (eV per formula unit): 0.07
Density (Mg/m³): 8.4
Space group: Pmm2

[3]
The following is a DFT calculation (GGA-PBEsol) of a relaxed structure of HfFe2RhPb.

Cell and atoms, written as POSCAR:
```
HfFe2RhPb
1.0
-1.9756 -2.4749 3.3997
-2.5868 -2.2462 -3.1384
3.7576 -3.6579 -0.4792
Pb Rh Hf Fe
1 1 1 2
direct
0.0000 0.0000 0.0000 Pb
0.5000 0.5000 0.5000 Rh
0.0000 0.0000 0.5000 Hf
0.0000 0.5000 0.0000 Fe
0.5000 0.0000 0.0000 Fe
```

## Properties
Raw total energy (eV for the cell shown): -31.0
Density (Mg/m³): 8.8
Space group: P4/mmm

[4]
The following is a DFT calculation (GGA-PBEsol) of a relaxed structure of CaCu2.

Cell and atoms, written as POSCAR:
```
CaCu2
1.0
-1.1796 2.2495 -2.3069
-1.0728 -2.5907 -1.9776
-4.2815 0.0584 2.2461
Ca Cu
1 2
direct
0.0000 0.0000 0.0000 Ca
0.0000 0.5000 0.5000 Cu
0.5000 0.0000 0.5000 Cu
```

## Properties
Raw total energy (eV for the cell shown): -10.4
Density (Mg/m³): 4.9
Space group: P4/mmm

[5]
The following is a DFT calculation (GGA-PBEsol) of a relaxed structure of AgTe2.

Cell and atoms, written as POSCAR:
```
AgTe2
1.0
-1.0750 1.4136 -2.5528
-3.7558 -5.5749 0.3886
-4.0863 5.5612 4.8003
Te Ag
4 2
direct
0.3524 0.7049 0.7254 Te
0.3879 0.7759 0.3092 Te
0.1429 0.2858 0.5197 Te
0.6002 0.2005 0.9169 Te
0.9910 0.9820 0.1086 Ag
0.6921 0.3843 0.2535 Ag
```

## Properties
Raw total energy (eV for the cell shown): -20.3
E_form (uncorrected) (meV/atom): 74
Density (Mg/m³): 7.3
Space group: Cm

[6]
The following is a DFT calculation (GGA-PBEsol) of a relaxed structure of AlMoOs4.

Cell and atoms, written as POSCAR:
```
AlMoOs4
1.0
5.0703 0.0000 0.0000
2.5351 4.3910 0.0000
2.5351 1.4637 4.1399
Al Mo Os
1 1 4
direct
0.7500 0.7500 0.7500 Al
0.0000 0.0000 0.0000 Mo
0.3754 0.3754 0.3754 Os
0.3754 0.3754 0.8739 Os
0.8739 0.3754 0.3754 Os
0.3754 0.8739 0.3754 Os
```

## Properties
Raw total energy (eV for the cell shown): -61.8
Density (Mg/m³): 15.9
Space group: F-43m

[7]
The following is a DFT calculation (GGA-PBEsol) of a relaxed structure of MgZnCo2.

Cell and atoms, written as POSCAR:
```
MgZnCo2
1.0
-1.2924 -2.2763 1.0127
0.8549 -1.4767 -2.2284
5.5275 -1.6951 3.2438
Zn Co Mg
1 2 1
direct
0.5000 0.5000 0.7908 Zn
0.0000 0.0000 0.0197 Co
0.5000 0.5000 0.2124 Co
0.0000 0.0000 0.4771 Mg
```

## Properties
Raw total energy (eV for the cell shown): -18.6
Density (Mg/m³): 6.6
Space group: P4mm

[8]
The following is a DFT calculation (GGA-PBEsol) of a relaxed structure of CrRhAu.

Cell and atoms, written as POSCAR:
```
CrRhAu
1.0
2.7549 0.0000 0.0000
0.0000 3.6201 0.0000
-1.3774 -1.8101 4.2083
Au Cr Rh
1 1 1
direct
0.0023 0.0023 0.0046 Au
0.6799 0.6799 0.3597 Cr
0.3179 0.3179 0.6357 Rh
```

## Properties
Raw total energy (eV for the cell shown): -22.0
Energy relative to the lowest polymorph listed for this composition (eV per formula unit): 0.07
Density (Mg/m³): 13.9
Space group: Imm2

[9]
The following is a DFT calculation (GGA-PBEsol) of a relaxed structure of HfSiSe.

Cell and atoms, written as POSCAR:
```
HfSiSe
1.0
-0.5704 -3.4819 -0.5927
1.7055 0.2542 -3.1347
7.1039 -1.7969 3.7193
Si Hf Se
2 2 2
direct
0.0000 0.0000 0.0000 Si
0.5000 0.5000 0.0000 Si
0.0000 0.5000 0.7435 Hf
0.5000 0.0000 0.2565 Hf
0.5000 0.0000 0.6202 Se
0.0000 0.5000 0.3798 Se
```

## Properties
Raw total energy (eV for the cell shown): -46.7
E_form (uncorrected) (meV/atom): -1090
Density (Mg/m³): 9.0
Space group: P4/nmm

[10]
The following is a DFT calculation (GGA-PBEsol) of a relaxed structure of Cs3InW.

Cell and atoms, written as POSCAR:
```
Cs3InW
1.0
6.9889 0.0000 0.0000
0.0000 6.9889 0.0000
0.0000 0.0000 6.9889
Cs W In
3 1 1
direct
0.0000 0.5000 0.0000 Cs
0.0000 0.0000 0.5000 Cs
0.5000 0.0000 0.0000 Cs
0.5000 0.5000 0.5000 W
0.0000 0.0000 0.0000 In
```

## Properties
Raw total energy (eV for the cell shown): -11.4
Density (Mg/m³): 3.4
Space group: Pm-3m

[11]
The following is a DFT calculation (GGA-PBEsol) of a relaxed structure of SiMoSCl2.

Cell and atoms, written as POSCAR:
```
SiMoSCl2
1.0
4.6106 0.0000 0.0000
0.0000 4.7472 0.0000
0.0000 0.0000 4.7472
Mo Si S Cl
1 1 1 2
direct
0.0000 0.0000 0.0000 Mo
0.5000 0.5000 0.5000 Si
0.5000 0.0000 0.0000 S
0.0000 0.0000 0.5000 Cl
0.0000 0.5000 0.0000 Cl
```

## Properties
Raw total energy (eV for the cell shown): -24.6
E_form (uncorrected) (meV/atom): 256
Density (Mg/m³): 3.6
Space group: P4/mmm

[12]
The following is a DFT calculation (GGA-PBEsol) of a relaxed structure of Ga2Bi2Sb.

Cell and atoms, written as POSCAR:
```
Ga2Bi2Sb
1.0
4.9902 0.0000 0.0000
0.0000 4.9902 0.0000
-2.4951 -2.4951 5.3280
Sb Bi Ga
1 2 2
direct
0.0000 0.0000 0.0000 Sb
0.2500 0.7500 0.5000 Bi
0.7500 0.2500 0.5000 Bi
0.3883 0.3883 0.7767 Ga
0.6117 0.6117 0.2233 Ga
```

## Properties
Raw total energy (eV for the cell shown): -18.5
E_form (uncorrected) (meV/atom): 254
Density (Mg/m³): 8.5
Space group: I4/mmm

[13]
The following is a DFT calculation (GGA-PBEsol) of a relaxed structure of BePPb2.

Cell and atoms, written as POSCAR:
```
BePPb2
1.0
-3.4687 0.9295 -0.2104
-1.8218 -0.5297 -3.0562
-3.8217 -6.9902 1.3726
Pb P Be
2 1 1
direct
0.9818 0.9818 0.0547 Pb
0.7695 0.7695 0.6915 Pb
0.2105 0.2105 0.3686 P
0.5382 0.5382 0.3853 Be
```

## Properties
Raw total energy (eV for the cell shown): -17.8
Energy relative to the lowest polymorph listed for this composition (eV per formula unit): 0.13
Density (Mg/m³): 8.6
Space group: R3m

[14]
The following is a DFT calculation (GGA-PBEsol) of a relaxed structure of YZrMo4.

Cell and atoms, written as POSCAR:
```
YZrMo4
1.0
5.3822 0.0000 0.0000
2.6911 4.6611 0.0000
2.6911 1.5537 4.3945
Y Mo Zr
1 4 1
direct
0.7500 0.7500 0.7500 Y
0.3750 0.3750 0.3750 Mo
0.3750 0.3750 0.8749 Mo
0.8749 0.3750 0.3750 Mo
0.3750 0.8749 0.3750 Mo
0.0000 0.0000 0.0000 Zr
```

## Properties
Raw total energy (eV for the cell shown): -62.9
Density (Mg/m³): 8.5
Space group: F-43m

[15]
The following is a DFT calculation (GGA-PBEsol) of a relaxed structure of NbAuSN2.

Cell and atoms, written as POSCAR:
```
NbAuSN2
1.0
-1.1235 -3.7614 -0.3716
1.7435 -0.8597 3.4306
-3.9765 0.9643 2.2625
Nb Au S N
1 1 1 2
direct
0.5000 0.5000 0.5000 Nb
0.0000 0.0000 0.0000 Au
0.0000 0.0000 0.5000 S
0.0000 0.5000 0.0000 N
0.5000 0.0000 0.0000 N
```

## Properties
Raw total energy (eV for the cell shown): -28.4
E_form (uncorrected) (meV/atom): 1550
Density (Mg/m³): 8.0
Space group: P4/mmm

[16]
The following is a DFT calculation (GGA-PBEsol) of a relaxed structure of CaInAg2.

Cell and atoms, written as POSCAR:
```
CaInAg2
1.0
4.4795 0.0000 0.0000
0.0000 4.4654 0.0000
-2.2398 -2.2327 4.1593
Ca Ag In
1 2 1
direct
0.5001 0.5001 0.0001 Ca
0.9999 0.9999 0.9998 Ag
0.7503 0.2503 0.5006 Ag
0.2497 0.7497 0.4995 In
```

## Properties
Raw total energy (eV for the cell shown): -12.6
Density (Mg/m³): 7.4
Space group: Imm2

[17]
The following is a DFT calculation (GGA-PBEsol) of a relaxed structure of SrCa2W.

Cell and atoms, written as POSCAR:
```
SrCa2W
1.0
3.1997 0.0000 0.0000
0.0000 3.1997 0.0000
0.0000 0.0000 11.3441
Sr Ca W
1 2 1
direct
0.0000 0.0000 0.5482 Sr
0.0000 0.0000 0.9513 Ca
0.5000 0.5000 0.2425 Ca
0.5000 0.5000 0.7580 W
```

## Properties
Raw total energy (eV for the cell shown): -16.5
Energy relative to the lowest polymorph listed for this composition (eV per formula unit): 0.08
Density (Mg/m³): 5.0
Space group: P4mm

[18]
The following is a DFT calculation (GGA-PBEsol) of a relaxed structure of CeAl2Cu3.

Cell and atoms, written as POSCAR:
```
CeAl2Cu3
1.0
4.1292 0.0000 0.0000
0.0000 5.0738 0.0256
0.0000 -2.3718 4.4854
Cu Al Ce
3 2 1
direct
0.0000 0.1603 0.8397 Cu
0.0000 0.8397 0.1603 Cu
0.5000 0.0000 0.0000 Cu
0.5000 0.0000 0.5000 Al
0.5000 0.5000 0.0000 Al
0.0000 0.5000 0.5000 Ce
```

## Properties
Raw total energy (eV for the cell shown): -29.8
Density (Mg/m³): 6.8
Space group: Cmmm

[19]
The following is a DFT calculation (GGA-PBEsol) of a relaxed structure of LiIn2Ag.

Cell and atoms, written as POSCAR:
```
LiIn2Ag
1.0
3.1343 0.0000 0.0000
-1.5671 4.6730 0.0355
0.0000 -1.0279 5.4570
In Ag Li
2 1 1
direct
0.7478 0.4956 0.7476 In
0.2522 0.5044 0.2524 In
0.0000 0.0000 0.5000 Ag
0.5000 0.0000 0.0000 Li
```

## Properties
Raw total energy (eV for the cell shown): -11.8
Density (Mg/m³): 7.1
Space group: C2/m

[20]
The following is a DFT calculation (GGA-PBEsol) of a relaxed structure of CdTc3.

Cell and atoms, written as POSCAR:
```
CdTc3
1.0
-1.4762 0.7882 -2.1890
0.0509 -1.5021 -2.3094
-7.6076 -5.1534 1.5407
Cd Tc
1 3
direct
0.0000 0.0000 0.0000 Cd
0.2433 0.2433 0.2701 Tc
0.5000 0.5000 0.5000 Tc
0.7567 0.7567 0.7299 Tc
```

## Properties
Raw total energy (eV for the cell shown): -34.2
Energy relative to the lowest polymorph listed for this composition (eV per formula unit): 0.00
Density (Mg/m³): 11.2
Space group: R-3m

[21]
The following is a DFT calculation (GGA-PBEsol) of a relaxed structure of In2IrOs.

Cell and atoms, written as POSCAR:
```
In2IrOs
1.0
-0.5847 -3.8971 0.4495
1.6481 -0.6565 -3.5474
3.2840 1.9165 3.3883
In Ir Os
2 1 1
direct
0.0000 0.0000 0.0000 In
0.7500 0.2500 0.5000 In
0.5000 0.5000 0.0000 Ir
0.2500 0.7500 0.5000 Os
```

## Properties
Raw total energy (eV for the cell shown): -26.3
Density (Mg/m³): 15.2
Space group: I-4m2

[22]
The following is a DFT calculation (GGA-PBEsol) of a relaxed structure of ScMn2BAu.

Cell and atoms, written as POSCAR:
```
ScMn2BAu
1.0
4.5011 0.0000 0.0000
0.0000 4.5011 0.0000
0.0000 0.0000 4.8852
Sc B Mn Au
1 1 2 1
direct
0.0000 0.0000 0.0000 Sc
0.5000 0.5000 0.5000 B
0.0000 0.5000 0.0000 Mn
0.5000 0.0000 0.0000 Mn
0.0000 0.0000 0.5000 Au
```

## Properties
Raw total energy (eV for the cell shown): -26.3
Density (Mg/m³): 6.1
Space group: P4/mmm

[23]
The following is a DFT calculation (GGA-PBEsol) of a relaxed structure of OsPt2AuF.

Cell and atoms, written as POSCAR:
```
OsPt2AuF
1.0
3.8251 0.0000 0.0000
0.0000 4.8082 0.0000
0.0000 0.0000 4.8082
Os Au Pt F
1 1 2 1
direct
0.0000 0.0000 0.0000 Os
0.5000 0.5000 0.5000 Au
0.0000 0.0000 0.5000 Pt
0.0000 0.5000 0.0000 Pt
0.5000 0.0000 0.0000 F
```

## Properties
Raw total energy (eV for the cell shown): -28.3
E_form (uncorrected) (meV/atom): 731
Density (Mg/m³): 15.0
Space group: P4/mmm

[24]
The following is a DFT calculation (GGA-PBEsol) of a relaxed structure of HfNb2ZnF.

Cell and atoms, written as POSCAR:
```
HfNb2ZnF
1.0
-1.8221 0.5054 3.7303
-3.5019 -1.7479 -1.4737
1.5435 -4.2088 1.3241
Nb Hf Zn F
2 1 1 1
direct
0.0000 0.5000 0.0000 Nb
0.5000 0.0000 0.0000 Nb
0.5000 0.5000 0.5000 Hf
0.0000 0.0000 0.5000 Zn
0.0000 0.0000 0.0000 F
```

## Properties
Raw total energy (eV for the cell shown): -37.1
E_form (uncorrected) (meV/atom): -281
Density (Mg/m³): 9.1
Space group: P4/mmm

[25]
The following is a DFT calculation (GGA-PBEsol) of a relaxed structure of KHgTe3.

Cell and atoms, written as POSCAR:
```
KHgTe3
1.0
5.6509 0.0000 0.0000
0.0000 5.6509 0.0000
0.0000 0.0000 5.6509
K Te Hg
1 3 1
direct
0.5000 0.5000 0.5000 K
0.0000 0.5000 0.0000 Te
0.0000 0.0000 0.5000 Te
0.5000 0.0000 0.0000 Te
0.0000 0.0000 0.0000 Hg
```

## Properties
Raw total energy (eV for the cell shown): -12.2
E_form (uncorrected) (meV/atom): 7
Density (Mg/m³): 5.7
Space group: Pm-3m

[26]
The following is a DFT calculation (GGA-PBEsol) of a relaxed structure of CdPRh3.

Cell and atoms, written as POSCAR:
```
CdPRh3
1.0
-2.3647 -3.6027 -0.2948
2.4573 -1.3439 -3.2884
2.6510 -1.9680 2.7852
P Rh Cd
1 3 1
direct
0.0000 0.0000 0.0000 P
0.0000 0.5000 0.0000 Rh
0.0000 0.0000 0.5000 Rh
0.5000 0.0000 0.0000 Rh
0.5000 0.5000 0.5000 Cd
```

## Properties
Raw total energy (eV for the cell shown): -32.3
Density (Mg/m³): 9.3
Space group: Pm-3m

[27]
The following is a DFT calculation (GGA-PBEsol) of a relaxed structure of MgIr2Rh.

Cell and atoms, written as POSCAR:
```
MgIr2Rh
1.0
3.8293 0.0000 0.0000
0.0000 3.8293 0.0000
-1.9146 -1.9146 3.8679
Mg Ir Rh
1 2 1
direct
0.5000 0.5000 0.0000 Mg
0.7500 0.2500 0.5000 Ir
0.2500 0.7500 0.5000 Ir
0.0000 0.0000 0.0000 Rh
```

## Properties
Raw total energy (eV for the cell shown): -30.0
Density (Mg/m³): 15.0
Space group: I4/mmm

[28]
The following is a DFT calculation (GGA-PBEsol) of a relaxed structure of Ag2Se.

Cell and atoms, written as POSCAR:
```
Ag2Se
1.0
5.1510 0.0000 0.0000
0.0000 6.9879 0.0000
0.0000 0.0000 6.3902
Se Ag
4 8
direct
0.3206 0.2107 0.2566 Se
0.1794 0.7893 0.7566 Se
0.6794 0.7107 0.2434 Se
0.8206 0.2893 0.7434 Se
0.8242 0.3436 0.2981 Ag
0.6758 0.6564 0.7981 Ag
0.1758 0.8436 0.2019 Ag
0.3242 0.1564 0.7019 Ag
0.7008 0.0231 0.0128 Ag
0.7992 0.9769 0.5128 Ag
0.2992 0.5231 0.4872 Ag
0.2008 0.4769 0.9872 Ag
```

## Properties
Raw total energy (eV for the cell shown): -42.1
E_form (uncorrected) (meV/atom): -19
Density (Mg/m³): 8.5
Space group: P2_12_12_1

[29]
The following is a DFT calculation (GGA-PBEsol) of a relaxed structure of Na2ZnAu2.

Cell and atoms, written as POSCAR:
```
Na2ZnAu2
1.0
-1.3359 0.4661 4.3925
5.5129 -3.2100 2.0172
3.2592 5.8313 0.3725
Na Zn Au
4 2 4
direct
0.5000 0.1660 0.6660 Na
0.5000 0.6660 0.8340 Na
0.5000 0.8340 0.3340 Na
0.5000 0.3340 0.1660 Na
0.0000 0.0000 0.0000 Zn
0.0000 0.5000 0.5000 Zn
0.0000 0.3556 0.8556 Au
0.0000 0.8556 0.6444 Au
0.0000 0.6444 0.1444 Au
0.0000 0.1444 0.3556 Au
```

## Properties
Raw total energy (eV for the cell shown): -26.2
Density (Mg/m³): 8.1
Space group: P4/mbm